Run A
Here is crystalline LiBiI2O at its relaxed geometry from the Alexandria database. Energies are from PBE.

a b c (Å): 6.321 6.321 4.366
angles (deg): 90.00 90.00 90.00
Space group P4/mmm (No. 123)
One atom of each set of equivalent atoms:
Li 0.000 0.000 0.000 [1 per cell]
Bi 0.500 0.500 0.500 [1 per cell]
I 0.000 0.500 0.500 [2 per cell]
O 0.500 0.500 0.000 [1 per cell]

V   174.5 Å³/cell

=====

Run B
Here is crystalline LiBiI2O at its relaxed geometry from the Alexandria database. Energies are from PBE.

a b c (Å): 5.597 5.597 3.809
angles (deg): 90.00 90.00 90.00
Space group P4/mmm (No. 123)
One atom of each set of equivalent atoms:
Li 0.000 0.000 0.000 [1 per cell]
Bi 0.500 0.500 0.500 [1 per cell]
I 0.000 0.500 0.000 [2 per cell]
O 0.000 0.000 0.500 [1 per cell]

V   119.3 Å³/cell

=====

run A (404 meV/atom below the next structure)

=====

Run A
Here is crystalline LiBi2I2O2 at its relaxed geometry from the Alexandria database. Energies are from PBE.

a b c (Å): 4.173 4.173 10.261
angles (deg): 90.00 90.00 90.00
Space group P4mm (No. 99)
One atom of each set of equivalent atoms:
Li 0.000 0.000 0.000 [1 per cell]
Bi 0.000 0.000 0.325 [1 per cell]
Bi 0.500 0.500 0.544 [1 per cell]
I 0.000 0.000 0.732 [1 per cell]
I 0.500 0.500 0.083 [1 per cell]
O 0.000 0.500 0.429 [2 per cell]

V   178.7 Å³/cell

=====

Run B
Here is crystalline LiBi2I2O2 at its relaxed geometry from the Alexandria database. Energies are from PBE.

a b c (Å): 4.224 4.224 10.023
angles (deg): 90.00 90.00 90.00
Space group P-4m2 (No. 115)
One atom of each set of equivalent atoms:
Li 0.000 0.000 0.000 [1 per cell]
Bi 0.000 0.500 0.609 [2 per cell]
I 0.000 0.500 0.178 [2 per cell]
O 0.000 0.000 0.500 [1 per cell]
O 0.500 0.500 0.500 [1 per cell]

V   178.8 Å³/cell

=====

run B (18 meV/atom below the next structure)